VASP calculation (PBE with a Hubbard U) on an optimized crystal structure of CsTl2VF5.

* total moment: 0.33 μB per atom
* DFT total energy: -4.784 eV per atom
* space group: No. 71
* crystal system: orthorhombic

```
data_CsTl2VF5
_symmetry_space_group_name_H-M 'P 1'
_symmetry_Int_Tables_number 1
_cell_length_a 4.231
_cell_length_b 6.615
_cell_length_c 7.671
_cell_angle_alpha 115.54
_cell_angle_beta 106.01
_cell_angle_gamma 90.00
loop_
_symmetry_equiv_pos_as_xyz
'x,y,z'
loop_
_atom_site_label
_atom_site_fract_x
_atom_site_fract_y
_atom_site_fract_z
_atom_site_occupancy
F1 0.000 0.000 0.000 1
F2 0.383 0.104 0.765 1
F3 0.383 0.661 0.765 1
F4 0.617 0.339 0.235 1
F5 0.617 0.896 0.235 1
Tl1 0.787 0.787 0.575 1
Tl2 0.213 0.213 0.425 1
V1 0.500 0.000 0.000 1
Cs1 0.000 0.500 0.000 1
```